A plane-wave DFT calculation with GGA-PBE was carried out for crystalline Rb2InCuI6 at its relaxed geometry.

Output
* symmetry: I4/mmm
* E: -25.7 eV for the cell shown

```
10
Lattice="-1.6287 2.7146 -7.9424 -8.0409 -2.8249 0.6833 -6.4509 5.0471 -1.5543" Properties=species:S:1:pos:R:3 pbc="T T T"
I -5.5491 2.1998 -2.7124
I -10.5714 2.7369 -6.1010
I -2.3286 -0.0266 -1.7481
I -7.3410 -0.0838 -5.5110
I -3.1728 1.3806 -5.8652
I -6.4968 -1.4909 -1.3939
Cu -4.8348 -0.0552 -3.6295
Rb -6.4572 3.8532 -6.5631
Rb -9.6633 1.0835 -2.2502
In 0.0000 0.0000 0.0000
```